RbBaSn4 | PBE | relaxed

```
6
Lattice="6.5501 0.0000 0.0000 3.2750 5.6725 0.0000 3.2750 1.8908 5.3481" Properties=species:S:1:pos:R:3 pbc="T T T"
Rb 3.2750 1.8908 1.3370
Ba 0.0000 0.0000 0.0000
Sn 4.9036 4.7323 3.3462
Sn 8.1966 4.7323 3.3462
Sn 6.5501 3.7817 0.6575
Sn 6.5501 1.8804 3.3462
```

DFT formation energy: -334 meV/atom
Density of states at the Fermi level: 1.404 states/eV per atom
Energy above the lowest structure with this stoichiometry: 0.017 eV/atom

---

RbBa2Sn2 | PBE | relaxed

```
10
Lattice="-0.8715 -1.3123 9.8833 1.1437 -9.8686 -1.2095 4.1027 0.4242 0.4181" Properties=species:S:1:pos:R:3 pbc="T T T"
Ba 0.2249 -3.4610 1.3053
Ba 0.6611 -8.5995 2.2386
Ba -0.3889 -2.5814 6.4352
Ba 0.0474 -7.7199 7.3685
Sn 2.5272 -9.3268 5.2193
Sn 1.8478 -1.4298 3.8726
Sn 2.6546 -6.0104 0.6037
Sn 1.7204 -4.7462 8.4883
Rb 0.1361 -5.5904 4.3369
Rb 0.0000 0.0000 0.0000
```

DFT formation energy: -359 meV/atom
Density of states at the Fermi level: 0.308 states/eV per atom
Energy above the lowest structure with this stoichiometry: 0.069 eV/atom

---

RbBa2Sn2 | PBE | relaxed

```
5
Lattice="-0.4079 2.0933 -5.6404 -2.3625 -5.2550 -1.7794 -7.5563 0.7495 -2.3988" Properties=species:S:1:pos:R:3 pbc="T T T"
Sn -2.6937 -1.0868 -3.4319
Sn -7.6330 -1.3255 -6.3867
Ba -4.6747 0.6309 -5.8746
Ba -5.6520 -3.0432 -3.9440
Rb 0.0000 0.0000 0.0000
```

DFT formation energy: -281 meV/atom
Density of states at the Fermi level: 1.148 states/eV per atom
Energy above the lowest structure with this stoichiometry: 0.147 eV/atom

---

RbBaSn2 | PBE | relaxed

```
4
Lattice="-3.6979 2.5329 4.0496 -3.6448 4.5247 -1.6530 -5.9609 -0.9052 -0.3717" Properties=species:S:1:pos:R:3 pbc="T T T"
Ba -6.6518 3.0762 1.0125
Sn -3.3259 1.5381 0.5062
Sn -9.9778 4.6143 1.5187
Rb 0.0000 0.0000 0.0000
```

DFT formation energy: -180 meV/atom
Density of states at the Fermi level: 0.796 states/eV per atom
Energy above the lowest structure with this stoichiometry: 0.266 eV/atom

---

RbBa2Sn | PBE | relaxed

```
4
Lattice="-1.8266 -1.6405 -3.6452 2.4632 -3.6184 0.3941 -8.2985 -4.9533 6.3876" Properties=species:S:1:pos:R:3 pbc="T T T"
Rb -3.8310 -5.1061 1.5683
Ba -1.3409 -0.8004 1.0321
Ba -6.9576 -4.1529 5.3555
Sn 0.3183 -2.6294 -1.6255
```

DFT formation energy: -307 meV/atom
Density of states at the Fermi level: 0.642 states/eV per atom

---

Rb3BaSn | PBE | relaxed

```
5
Lattice="7.1252 0.0000 0.0000 0.0000 7.1252 0.0000 0.0000 0.0000 7.1252" Properties=species:S:1:pos:R:3 pbc="T T T"
Rb 3.5626 0.0000 0.0000
Rb 0.0000 3.5626 0.0000
Rb 0.0000 0.0000 3.5626
Sn 3.5626 3.5626 3.5626
Ba 0.0000 0.0000 0.0000
```

DFT formation energy: 845 meV/atom
Density of states at the Fermi level: 1.349 states/eV per atom
Energy above the lowest structure with this stoichiometry: 0.631 eV/atom

---

Rb2BaSn | PBE | relaxed

```
8
Lattice="5.3594 0.0000 0.0000 0.0000 5.3594 0.0000 2.6797 2.6797 14.1798" Properties=species:S:1:pos:R:3 pbc="T T T"
Rb 3.8874 1.3399 3.5449
Rb 4.0196 4.1518 10.6348
Rb 6.6993 6.5671 10.6348
Rb 1.4720 4.0196 3.5449
Ba 0.0000 0.0000 0.0000
Ba 5.3594 2.6797 7.0899
Sn 2.6797 5.3594 7.0899
Sn 2.6797 2.6797 0.0000
```

DFT formation energy: 27 meV/atom
Density of states at the Fermi level: 0.954 states/eV per atom

---

RbBa3Sn | PBE | relaxed

```
5
Lattice="-1.1619 -6.2164 1.2238 3.0390 0.5449 5.6532 -5.5593 1.5971 2.8346" Properties=species:S:1:pos:R:3 pbc="T T T"
Ba -0.5810 -3.1082 0.6119
Ba 1.5195 0.2724 2.8266
Ba -2.7796 0.7986 1.4173
Sn -1.8411 -2.0372 4.8558
Rb 0.0000 0.0000 0.0000
```

DFT formation energy: 702 meV/atom
Density of states at the Fermi level: 1.060 states/eV per atom
Energy above the lowest structure with this stoichiometry: 0.891 eV/atom